Crystalline AlV2Mo at its relaxed geometry, computed with GGA-PBE.

## Properties
The formation energy is -0.7 eV/f.u. As for the magnetic moment: 0.00 μB per formula unit.

Cell: 3.262 4.202 4.202 Å, 90.00 90.00 90.00°
Atoms (fractional coordinates):
Mo 0.500 0.000 0.000
Al 0.500 0.500 0.500
V 0.000 0.000 0.500
V 0.000 0.500 0.000